25
Lattice="5.489 -5.378 0.000 5.489 5.378 0.000 -4.754 0.000 5.810" Properties=species:S:1:pos:R:3 comment="PBE+U Er2MgTl2W4O16, relaxed" crystal_system=monoclinic e_tot_ev_per_atom=-7.1577 n_ef_per_ev_fu=0.00 polymorph_energy_ev_per_atom=0.027 pbc="T T T"
Er 0.000 0.000 0.000
Er 3.112 -0.501 2.905
Mg 5.489 0.675 0.000
Tl 5.489 -1.996 0.000
Tl 3.112 -5.146 2.905
W 3.117 2.607 0.266
W 0.737 2.358 3.178
W 3.106 2.607 5.544
W 5.487 2.358 2.632
O 1.981 3.085 1.903
O 0.559 0.797 2.189
O 1.488 3.606 4.560
O -0.486 1.658 4.652
O 4.735 3.606 1.250
O 4.042 1.154 1.529
O 4.242 3.085 3.907
O 2.490 -1.233 0.752
O 2.182 1.154 4.281
O 6.709 1.658 1.158
O 1.408 -1.973 3.194
O 5.665 0.797 3.621
O 3.887 -3.865 0.299
O 4.815 -1.973 2.616
O 3.733 -1.233 5.058
O 2.336 -3.865 5.511